Density functional theory data (PBE) for a relaxed As2PtAuBr crystal.

Output
**E_form (uncorrected)**: 0.629 eV/atom

Cell lengths 4.894, 4.894, 5.219 Å; angles 90.00, 90.00, 90.00 degrees
Element x y z (fractional)
As 0.000 0.500 0.000
As 0.500 0.000 0.000
Pt 0.000 0.000 0.000
Au 0.500 0.500 0.500
Br 0.000 0.000 0.500